The following is a DFT calculation (GGA-PBE) of a relaxed structure of SnPb2OF.

Cell and atoms, written as POSCAR:
```
SnPb2OF
1.0
-3.439 -1.948 2.576
3.645 -2.803 2.745
0.350 3.516 3.126
Pb O Sn F
2 1 1 1
direct
0.000 0.000 0.500
0.500 0.000 0.000
0.000 0.000 0.000
0.500 0.500 0.500
0.000 0.500 0.000
```

Space-group type = No. 123
V = 23.84 Å³/atom
Formation energy from raw total energies = -1.9 eV per formula unit

The following is a DFT calculation (GGA-PBE) of a relaxed structure of Sn3Pb2O8F.

Cell and atoms, written as POSCAR:
```
Sn3Pb2O8F
1.0
-1.004 1.602 6.140
-5.832 -0.720 2.595
-0.575 -6.303 4.912
O Pb Sn F
8 2 3 1
direct
0.722 0.722 0.835
0.761 0.326 0.152
0.761 0.761 0.152
0.286 0.286 0.142
0.230 0.701 0.838
0.230 0.230 0.838
0.701 0.230 0.838
0.326 0.761 0.152
0.538 0.538 0.386
0.109 0.109 0.673
0.501 0.501 0.990
0.501 0.007 0.990
0.007 0.501 0.990
0.819 0.819 0.544
```

Space-group type = No. 160
V = 18.13 Å³/atom
Formation energy from raw total energies = -18.4 eV per formula unit

The following is a DFT calculation (GGA-PBE) of a relaxed structure of SnPbO2F.

Cell and atoms, written as POSCAR:
```
SnPbO2F
1.0
4.269 0.000 0.000
0.000 4.269 0.000
0.000 0.000 4.396
O F Sn Pb
2 1 1 1
direct
0.000 0.500 0.000
0.500 0.000 0.000
0.000 0.000 0.500
0.000 0.000 0.000
0.500 0.500 0.500
```

Space-group type = No. 123
V = 16.02 Å³/atom
Formation energy from raw total energies = -6.8 eV per formula unit

The following is a DFT calculation (GGA-PBE) of a relaxed structure of SnPbO2F.

Cell and atoms, written as POSCAR:
```
SnPbO2F
1.0
4.409 0.000 0.000
0.000 4.409 0.000
0.000 0.000 4.466
F O Pb Sn
1 2 1 1
direct
0.000 0.000 0.500
0.500 0.000 0.000
0.000 0.500 0.000
0.000 0.000 0.000
0.500 0.500 0.500
```

Space-group type = No. 123
V = 17.37 Å³/atom
Formation energy from raw total energies = -4.6 eV per formula unit

The following is a DFT calculation (GGA-PBE) of a relaxed structure of SnPbO2F.

Cell and atoms, written as POSCAR:
```
SnPbO2F
1.0
4.694 0.000 0.000
0.000 4.280 0.000
0.000 0.000 4.694
F Sn Pb O
1 1 1 2
direct
0.000 0.000 0.000
0.500 0.500 0.500
0.000 0.500 0.000
0.500 0.000 0.000
0.000 0.000 0.500
```

Space-group type = No. 123
V = 18.86 Å³/atom
Formation energy from raw total energies = 0.5 eV per formula unit

The following is a DFT calculation (GGA-PBE) of a relaxed structure of TaPbO2F.

Cell and atoms, written as POSCAR:
```
TaPbO2F
1.0
-4.038 -0.746 1.666
1.716 -2.931 2.846
0.612 3.184 2.911
F O Ta Pb
1 2 1 1
direct
0.000 0.000 0.500
0.000 0.500 0.000
0.500 0.000 0.000
0.500 0.500 0.500
0.000 0.000 0.000
```

Space-group type = No. 123
V = 17.11 Å³/atom
Formation energy from raw total energies = 0.5 eV per formula unit

The following is a DFT calculation (GGA-PBE) of a relaxed structure of TaPbOF2.

Cell and atoms, written as POSCAR:
```
TaPbOF2
1.0
-1.956 0.906 3.955
-3.961 -1.375 -1.644
0.847 -4.048 1.346
O Pb Ta F
1 1 1 2
direct
0.000 0.000 0.500
0.000 0.000 0.000
0.500 0.500 0.500
0.000 0.500 0.000
0.500 0.000 0.000
```

Space-group type = No. 123
V = 17.65 Å³/atom
Formation energy from raw total energies = -0.6 eV per formula unit

The following is a DFT calculation (GGA-PBE) of a relaxed structure of TaPbO2F.

Cell and atoms, written as POSCAR:
```
TaPbO2F
1.0
4.041 0.000 0.000
0.000 4.041 0.000
0.000 0.000 4.507
O Ta F Pb
2 1 1 1
direct
0.500 0.000 0.000
0.000 0.500 0.000
0.000 0.000 0.000
0.000 0.000 0.500
0.500 0.500 0.500
```

Space-group type = No. 123
V = 14.72 Å³/atom
Formation energy from raw total energies = -9.1 eV per formula unit

The following is a DFT calculation (GGA-PBE) of a relaxed structure of Ta3PbO8F2.

Cell and atoms, written as POSCAR:
```
Ta3PbO8F2
1.0
6.160 0.000 0.000
3.080 5.335 0.000
3.080 1.778 7.265
F O Ta Pb
2 8 3 1
direct
0.168 0.168 0.495
0.503 0.503 0.492
0.224 0.673 0.879
0.772 0.302 0.154
0.224 0.224 0.879
0.279 0.279 0.163
0.673 0.224 0.879
0.302 0.772 0.154
0.710 0.710 0.870
0.772 0.772 0.154
0.001 0.494 0.010
0.494 0.001 0.010
0.494 0.494 0.010
0.877 0.877 0.370
```

Space-group type = No. 160
V = 17.05 Å³/atom
Formation energy from raw total energies = -29.9 eV per formula unit

The following is a DFT calculation (GGA-PBE) of a relaxed structure of TcPbOF2.

Cell and atoms, written as POSCAR:
```
TcPbOF2
1.0
-4.607 0.045 -0.907
0.008 -4.688 -0.274
-0.732 -0.218 3.708
Pb F Tc O
1 2 1 1
direct
0.500 0.500 0.500
0.000 0.500 0.000
0.500 0.000 0.000
0.000 0.000 0.000
0.000 0.000 0.500
```

Space-group type = No. 123
V = 16.69 Å³/atom
Formation energy from raw total energies = -5.8 eV per formula unit

The following is a DFT calculation (GGA-PBE) of a relaxed structure of TcPb2O2F4.

Cell and atoms, written as POSCAR:
```
TcPb2O2F4
1.0
4.338 -0.283 -0.193
0.648 5.705 0.248
0.648 2.326 5.215
Pb F O Tc
2 4 2 1
direct
0.772 0.317 0.317
0.228 0.683 0.683
0.731 0.811 0.349
0.269 0.189 0.651
0.269 0.651 0.189
0.731 0.349 0.811
0.265 0.166 0.166
0.735 0.834 0.834
0.500 0.000 0.000
```

Space-group type = No. 12
V = 14.21 Å³/atom
Formation energy from raw total energies = -15.5 eV per formula unit

The following is a DFT calculation (GGA-PBE) of a relaxed structure of TcPbOF2.

Cell and atoms, written as POSCAR:
```
TcPbOF2
1.0
4.599 0.000 0.000
0.000 4.599 0.000
0.000 0.000 4.436
Tc F Pb O
1 2 1 1
direct
0.500 0.500 0.500
0.500 0.000 0.000
0.000 0.500 0.000
0.000 0.000 0.000
0.000 0.000 0.500
```

Space-group type = No. 123
V = 18.77 Å³/atom
Formation energy from raw total energies = -2.1 eV per formula unit

- Which formula does entry 2 have?
  Sn3Pb2O8F